## SnPbOF2 (GGA-PBE)

Data for SnPbOF2 after structural relaxation.

## Properties
- Crystal system: tetragonal
- Offset from the most stable computed form: 255 meV/atom
- SG: No. 123
- DFT total energy: -4.50 eV per atom
- ΔE_f (raw): -1222 meV per atom
- Total magnetic moment: 0.00 μB/cell

a b c (Å): 4.681 4.681 4.550
angles (deg): 90.00 90.00 90.00
Atoms (fractional coordinates):
F1 0.500 0.000 0.000
F2 0.000 0.500 0.000
O1 0.000 0.000 0.500
Pb1 0.000 0.000 0.000
Sn1 0.500 0.500 0.500

***

## U2AlPt3 (GGA-PBE)

Data for U2AlPt3 after structural relaxation.

## Properties
- Crystal system: hexagonal
- SG: No. 194
- DFT total energy: -8.19 eV per atom
- Total magnetic moment: 7.70 μB/cell

a b c (Å): 5.605 5.605 8.049
angles (deg): 90.00 90.00 120.00
Atoms (fractional coordinates):
Pt1 0.170 0.830 0.250
Pt2 0.659 0.830 0.250
U1 0.333 0.667 0.918
Al1 0.000 0.000 0.500
Pt3 0.341 0.170 0.750
Al2 0.000 0.000 0.000
Pt4 0.830 0.170 0.750
U2 0.333 0.667 0.582
Pt5 0.170 0.341 0.250
Pt6 0.830 0.659 0.750
U3 0.667 0.333 0.418
U4 0.667 0.333 0.082

***

## Tb2ErRh2 (GGA-PBE)

Data for Tb2ErRh2 after structural relaxation.

## Properties
- Crystal system: orthorhombic
- Offset from the most stable computed form: 0 meV/atom
- SG: No. 36
- DFT total energy: -6.41 eV per atom
- Total magnetic moment: 0.00 μB/cell

a b c (Å): 3.927 6.696 9.689
angles (deg): 90.00 90.00 107.05
Atoms (fractional coordinates):
Er1 0.651 0.302 0.958
Er2 0.349 0.698 0.458
Rh1 0.993 0.987 0.404
Rh2 0.007 0.013 0.904
Tb1 0.901 0.801 0.149
Rh3 0.759 0.518 0.646
Tb2 0.099 0.199 0.649
Rh4 0.241 0.482 0.146
Tb3 0.363 0.725 0.829
Tb4 0.637 0.275 0.329

***

## PrMg2In4 (GGA-PBE)

Data for PrMg2In4 after structural relaxation.

## Properties
- Crystal system: monoclinic
- SG: No. 12
- DFT total energy: -2.85 eV per atom
- Total magnetic moment: 0.00 μB/cell

a b c (Å): 6.591 6.592 6.142
angles (deg): 114.41 114.41 54.30
Atoms (fractional coordinates):
In1 0.500 0.000 0.000
In2 0.753 0.247 0.500
Mg1 0.289 0.289 0.587
Mg2 0.711 0.711 0.413
In3 0.000 0.500 0.000
Pr1 0.000 0.000 0.000
In4 0.247 0.753 0.500

***

## Cs3MgAg2I9 (GGA-PBE)

Data for Cs3MgAg2I9 after structural relaxation.

## Properties
- Crystal system: trigonal
- SG: No. 164
- DFT total energy: -2.43 eV per atom
- ΔE_f (raw): -845 meV per atom
- Total magnetic moment: 0.00 μB/cell

a b c (Å): 8.341 8.341 10.250
angles (deg): 90.00 90.00 120.00
Atoms (fractional coordinates):
Cs1 0.667 0.333 0.337
I1 0.500 0.500 0.000
Mg1 0.000 0.000 0.500
I2 0.332 0.166 0.666
I3 0.166 0.834 0.334
Ag1 0.667 0.333 0.836
I4 0.834 0.166 0.666
Cs2 0.333 0.667 0.663
I5 0.668 0.834 0.334
I6 0.166 0.332 0.334
I7 0.500 0.000 0.000
Ag2 0.333 0.667 0.164
I8 0.834 0.668 0.666
Cs3 0.000 0.000 0.000
I9 0.000 0.500 0.000

***

## Sb2Ru3 (GGA-PBE)

Data for Sb2Ru3 after structural relaxation.

## Properties
- Crystal system: trigonal
- SG: No. 166
- DFT total energy: -6.92 eV per atom
- ΔE_f (raw): 292 meV per atom
- Total magnetic moment: 0.00 μB/cell

a b c (Å): 10.539 10.539 10.539
angles (deg): 16.84 16.84 16.84
Atoms (fractional coordinates):
Sb1 0.601 0.601 0.601
Ru1 0.199 0.199 0.199
Ru2 0.000 0.000 0.000
Ru3 0.801 0.801 0.801
Sb2 0.399 0.399 0.399

***

## Tl2Ga2Au (GGA-PBE)

Data for Tl2Ga2Au after structural relaxation.

## Properties
- Crystal system: tetragonal
- Offset from the most stable computed form: 351 meV/atom
- SG: No. 139
- DFT total energy: -2.51 eV per atom
- Total magnetic moment: 0.00 μB/cell

a b c (Å): 4.394 4.394 7.359
angles (deg): 72.63 72.63 90.00
Atoms (fractional coordinates):
Tl1 0.750 0.250 0.500
Ga1 0.592 0.592 0.816
Ga2 0.408 0.408 0.184
Au1 0.000 0.000 0.000
Tl2 0.250 0.750 0.500

***

## CaSmHo (GGA-PBE)

Data for CaSmHo after structural relaxation.

## Properties
- Crystal system: tetragonal
- Offset from the most stable computed form: 0 meV/atom
- SG: No. 107
- DFT total energy: -3.71 eV per atom
- Total magnetic moment: 0.00 μB/cell

a b c (Å): 3.657 3.657 8.232
angles (deg): 102.83 102.83 90.00
Atoms (fractional coordinates):
Sm1 0.677 0.677 0.353
Ca1 0.999 0.999 0.997
Ho1 0.325 0.325 0.649